Here is crystalline MnBNO2 at its relaxed geometry from Alexandria via LeMat-Bulk. Energies are from PBE with a Hubbard U.

Cell: 3.6679 3.6679 3.0659 Å, 90.00 90.00 90.00°
Atoms (fractional coordinates):
1 Mn 0.0000 0.0000 0.0000
2 B 0.5000 0.5000 0.5000
3 N 0.5000 0.5000 0.0000
4 O 0.0000 0.5000 0.5000
5 O 0.5000 0.0000 0.5000

Properties
ρ	4.50	g cm⁻³
M_tot	0.620	μB/atom
total energy	-6.73	eV/atom